# 1
Tb2DySc4 | PBE-GGA | relaxed

POSCAR file:
```
Tb2DySc4
1.0
-4.623 0.555 -2.398
-1.417 -2.561 2.138
-2.029 8.621 5.907
Sc Dy Tb
4 1 2
direct
0.000 0.181 0.363 Sc
0.500 0.303 0.605 Sc
0.500 0.697 0.395 Sc
0.000 0.819 0.637 Sc
0.000 0.500 0.000 Dy
0.500 0.074 0.147 Tb
0.500 0.926 0.853 Tb
```

As for the density of states at the Fermi level: 11.79 states/eV/cell. The calculation puts the electronic total energy at -5.426 eV per atom. The calculation puts the formation energy at 0.173 eV/atom.

# 2
Tb12DySc6 | PBE-GGA | relaxed

POSCAR file:
```
Tb12DySc6
1.0
-1.636 -8.742 1.718
-0.291 1.426 -8.941
8.202 2.211 3.145
Tb Sc Dy
12 6 1
direct
0.464 0.197 0.267 Tb
0.733 0.536 0.803 Tb
0.197 0.267 0.464 Tb
0.803 0.733 0.536 Tb
0.267 0.070 0.803 Tb
0.930 0.197 0.733 Tb
0.733 0.930 0.197 Tb
0.803 0.267 0.070 Tb
0.267 0.464 0.197 Tb
0.070 0.803 0.267 Tb
0.536 0.803 0.733 Tb
0.197 0.733 0.930 Tb
0.500 0.138 0.638 Sc
0.362 0.500 0.862 Sc
0.862 0.362 0.500 Sc
0.138 0.638 0.500 Sc
0.638 0.500 0.138 Sc
0.500 0.862 0.362 Sc
0.000 0.000 0.000 Dy
```

As for the density of states at the Fermi level: 28.95 states/eV/cell. The calculation puts the electronic total energy at -4.928 eV per atom. The calculation puts the formation energy at 0.238 eV/atom.

# 3
Tb2Dy4Sc | PBE-GGA | relaxed

POSCAR file:
```
Tb2Dy4Sc
1.0
5.498 0.000 0.000
0.000 12.115 0.000
0.000 0.000 13.177
Dy Tb Sc
16 8 4
direct
0.999 0.754 0.075 Dy
0.001 0.254 0.425 Dy
0.999 0.855 0.321 Dy
0.501 0.355 0.321 Dy
0.001 0.355 0.179 Dy
0.499 0.645 0.679 Dy
0.001 0.246 0.925 Dy
0.501 0.145 0.821 Dy
0.499 0.754 0.425 Dy
0.001 0.145 0.679 Dy
0.999 0.645 0.821 Dy
0.999 0.746 0.575 Dy
0.499 0.746 0.925 Dy
0.501 0.254 0.075 Dy
0.501 0.246 0.575 Dy
0.499 0.855 0.179 Dy
0.500 0.068 0.345 Tb
0.000 0.068 0.155 Tb
0.500 0.932 0.655 Tb
0.500 0.432 0.845 Tb
0.000 0.932 0.845 Tb
0.000 0.432 0.655 Tb
0.500 0.568 0.155 Tb
0.000 0.568 0.345 Tb
0.500 0.500 0.500 Sc
0.500 0.000 0.000 Sc
0.000 0.500 0.000 Sc
0.000 0.000 0.500 Sc
```

As for the density of states at the Fermi level: 42.73 states/eV/cell. The calculation puts the electronic total energy at -4.676 eV per atom. The calculation puts the formation energy at 0.181 eV/atom.

# 4
TbDy5Sc2 | PBE-GGA | relaxed

POSCAR file:
```
TbDy5Sc2
1.0
-2.471 -6.214 5.719
-4.477 -4.089 -6.377
8.518 1.841 -1.089
Dy Tb Sc
10 2 4
direct
0.493 0.691 0.684 Dy
0.993 0.493 0.684 Dy
0.191 0.993 0.684 Dy
0.500 0.500 0.000 Dy
0.000 0.000 0.000 Dy
0.809 0.007 0.316 Dy
0.691 0.191 0.684 Dy
0.507 0.309 0.316 Dy
0.309 0.809 0.316 Dy
0.007 0.507 0.316 Dy
0.750 0.750 0.500 Tb
0.250 0.250 0.500 Tb
0.143 0.357 0.000 Sc
0.357 0.857 0.000 Sc
0.857 0.643 0.000 Sc
0.643 0.143 0.000 Sc
```

As for the density of states at the Fermi level: 19.88 states/eV/cell. The calculation puts the electronic total energy at -4.926 eV per atom. The calculation puts the formation energy at 0.112 eV/atom.

# 5
Tb8DySc6 | PBE-GGA | relaxed

POSCAR file:
```
Tb8DySc6
1.0
6.381 0.000 0.000
0.000 7.846 -4.530
0.000 0.000 9.059
Tb Sc Dy
8 6 1
direct
0.889 0.692 0.654 Tb
0.111 0.038 0.692 Tb
0.222 0.667 0.333 Tb
0.111 0.654 0.962 Tb
0.778 0.333 0.667 Tb
0.111 0.308 0.346 Tb
0.889 0.962 0.308 Tb
0.889 0.346 0.038 Tb
0.402 0.067 0.396 Sc
0.402 0.329 0.933 Sc
0.598 0.671 0.067 Sc
0.598 0.933 0.604 Sc
0.598 0.396 0.329 Sc
0.402 0.604 0.671 Sc
0.500 0.000 0.000 Dy
```

As for the density of states at the Fermi level: 21.71 states/eV/cell. The calculation puts the electronic total energy at -5.066 eV per atom. The calculation puts the formation energy at 0.243 eV/atom.

# 6
TbDySc2 | PBE-GGA | relaxed

POSCAR file:
```
TbDySc2
1.0
3.425 0.001 0.000
1.711 2.967 -0.001
0.002 0.003 10.936
Tb Sc Dy
1 2 1
direct
0.674 0.107 0.420 Tb
0.007 0.440 0.170 Sc
0.340 0.773 0.670 Sc
0.674 0.107 0.920 Dy
```

As for the density of states at the Fermi level: 6.24 states/eV/cell. The calculation puts the electronic total energy at -5.430 eV per atom. The calculation puts the formation energy at 0.044 eV/atom.

# 7
Tb9Dy11Sc4 | PBE-GGA | relaxed

POSCAR file:
```
Tb9Dy11Sc4
1.0
3.576 0.000 0.000
0.000 13.786 -5.883
0.000 0.008 14.989
Dy Tb Sc
11 9 4
direct
0.000 0.298 0.298 Dy
0.000 0.407 0.046 Dy
0.000 0.702 0.702 Dy
0.000 0.840 0.160 Dy
0.000 0.000 0.000 Dy
0.000 0.593 0.954 Dy
0.000 0.046 0.407 Dy
0.000 0.954 0.593 Dy
0.000 0.160 0.840 Dy
0.000 0.629 0.371 Dy
0.000 0.371 0.629 Dy
0.500 0.072 0.217 Tb
0.500 0.834 0.372 Tb
0.500 0.783 0.928 Tb
0.500 0.372 0.834 Tb
0.500 0.928 0.783 Tb
0.500 0.217 0.072 Tb
0.500 0.166 0.628 Tb
0.500 0.500 0.500 Tb
0.500 0.628 0.166 Tb
0.500 0.446 0.242 Sc
0.500 0.554 0.758 Sc
0.500 0.242 0.446 Sc
0.500 0.758 0.554 Sc
```

As for the density of states at the Fermi level: 32.80 states/eV/cell. The calculation puts the electronic total energy at -4.856 eV per atom. The calculation puts the formation energy at 0.045 eV/atom.

# 8
Tb4Dy2Sc3 | PBE-GGA | relaxed

POSCAR file:
```
Tb4Dy2Sc3
1.0
3.493 0.000 0.000
-1.746 3.025 0.000
0.000 0.000 25.341
Tb Sc Dy
4 3 2
direct
0.667 0.333 0.221 Tb
0.000 0.000 0.759 Tb
0.000 0.000 0.548 Tb
0.667 0.333 0.431 Tb
0.000 0.000 0.325 Sc
0.667 0.333 0.653 Sc
0.000 0.000 0.980 Sc
0.667 0.333 0.875 Dy
0.667 0.333 0.084 Dy
```

As for the density of states at the Fermi level: 13.80 states/eV/cell. The calculation puts the electronic total energy at -5.130 eV per atom. The calculation puts the formation energy at 0.061 eV/atom.

# 9
Tb7DySc4 | PBE-GGA | relaxed

POSCAR file:
```
Tb7DySc4
1.0
-5.273 -3.119 3.333
2.216 1.918 5.290
-9.050 4.496 4.468
Tb Sc Dy
7 4 1
direct
0.084 0.285 0.660 Tb
0.739 0.503 0.006 Tb
0.664 0.223 0.337 Tb
0.261 0.497 0.994 Tb
0.916 0.715 0.340 Tb
0.500 0.000 0.000 Tb
0.336 0.777 0.663 Tb
0.160 0.216 0.340 Sc
0.593 0.275 0.663 Sc
0.840 0.784 0.660 Sc
0.407 0.725 0.337 Sc
0.000 0.000 0.000 Dy
```

As for the density of states at the Fermi level: 16.32 states/eV/cell. The calculation puts the electronic total energy at -5.174 eV per atom. The calculation puts the formation energy at 0.021 eV/atom.

# 10
Tb3Dy2Sc6 | PBE-GGA | relaxed

POSCAR file:
```
Tb3Dy2Sc6
1.0
3.404 0.000 0.209
1.696 2.952 0.209
-0.137 -0.079 30.084
Sc Dy Tb
6 2 3
direct
0.091 0.091 0.726 Sc
0.181 0.181 0.457 Sc
0.636 0.636 0.091 Sc
0.909 0.909 0.274 Sc
0.819 0.819 0.543 Sc
0.364 0.364 0.909 Sc
0.545 0.545 0.365 Dy
0.455 0.455 0.635 Dy
0.272 0.272 0.183 Tb
0.000 0.000 0.000 Tb
0.728 0.728 0.817 Tb
```

As for the density of states at the Fermi level: 14.95 states/eV/cell. The calculation puts the electronic total energy at -5.496 eV per atom. The calculation puts the formation energy at 0.057 eV/atom.

> The lowest electronic total energy belongs to which entry?

Tb3Dy2Sc6

> Among the records above, which one has the highest electronic total energy?

Tb2Dy4Sc